# 1
First-principles (GGA-PBE) data for a relaxed structure of Li2Sn3, as listed in Alexandria via LeMat-Bulk.

a b c (Å): 4.944 4.950 10.925
angles (deg): 90.00 90.00 119.96
Fractional positions:
Li1 0.500 0.500 0.500
Li2 0.500 0.500 0.000
Li3 0.168 0.835 0.750
Li4 0.832 0.165 0.250
Sn1 0.834 0.167 0.597
Sn2 0.166 0.833 0.097
Sn3 0.166 0.833 0.403
Sn4 0.834 0.167 0.903
Sn5 0.500 0.501 0.750
Sn6 0.500 0.499 0.250

Calculated values
- formation energy (eV/atom) = -0.17
- E above lowest polymorph (meV per atom) = 0.0
- mass density (g cm⁻³) = 5.3

---

# 2
First-principles (GGA-PBE) data for a relaxed structure of Li4Sn3, as listed in Alexandria via LeMat-Bulk.

a b c (Å): 3.092 4.348 10.793
angles (deg): 101.62 98.24 90.00
Fractional positions:
Li1 0.711 0.211 0.421
Li2 0.289 0.789 0.579
Li3 0.427 0.927 0.855
Li4 0.573 0.073 0.145
Sn1 0.851 0.351 0.703
Sn2 0.000 0.500 0.000
Sn3 0.149 0.649 0.297

Calculated values
- formation energy (eV/atom) = -0.35
- E above lowest polymorph (meV per atom) = 0.0
- mass density (g cm⁻³) = 4.5

---

# 3
First-principles (GGA-PBE) data for a relaxed structure of Li2Sn3, as listed in Alexandria via LeMat-Bulk.

a b c (Å): 6.377 6.377 7.698
angles (deg): 65.53 65.53 60.00
Fractional positions:
Sn1 0.248 0.750 0.750
Sn2 0.750 0.252 0.750
Sn3 0.252 0.248 0.750
Sn4 0.250 0.748 0.250
Sn5 0.748 0.752 0.250
Sn6 0.752 0.250 0.250
Li1 0.812 0.812 0.565
Li2 0.312 0.312 0.065
Li3 0.188 0.188 0.435
Li4 0.688 0.688 0.935

Calculated values
- formation energy (eV/atom) = -0.07
- E above lowest polymorph (meV per atom) = 105.2
- mass density (g cm⁻³) = 5.2

---

# 4
First-principles (GGA-PBE) data for a relaxed structure of Li3Sn5, as listed in Alexandria via LeMat-Bulk.

a b c (Å): 3.270 3.270 16.769
angles (deg): 90.00 90.00 90.00
Fractional positions:
Li1 0.500 0.500 0.116
Li2 0.500 0.500 0.884
Li3 0.000 0.000 0.500
Sn1 0.000 0.000 0.233
Sn2 0.500 0.500 0.616
Sn3 0.500 0.500 0.384
Sn4 0.000 0.000 0.767
Sn5 0.000 0.000 0.000

Calculated values
- formation energy (eV/atom) = -0.19
- E above lowest polymorph (meV per atom) = 32.2
- mass density (g cm⁻³) = 5.7

---

# 5
First-principles (GGA-PBE) data for a relaxed structure of LiSn3, as listed in Alexandria via LeMat-Bulk.

a b c (Å): 3.315 5.312 5.737
angles (deg): 90.00 90.00 90.00
Fractional positions:
Sn1 0.000 0.500 0.319
Sn2 0.500 0.000 0.515
Sn3 0.500 0.500 0.835
Li1 0.000 0.000 0.998

Calculated values
- formation energy (eV/atom) = -0.09
- mass density (g cm⁻³) = 6.0

---

# 6
First-principles (GGA-PBE) data for a relaxed structure of Li3Sn2, as listed in Alexandria via LeMat-Bulk.

a b c (Å): 4.228 5.156 5.430
angles (deg): 82.98 67.09 65.79
Fractional positions:
Li1 0.794 0.293 0.120
Li2 0.000 0.500 0.500
Li3 0.206 0.707 0.880
Sn1 0.410 0.888 0.292
Sn2 0.590 0.112 0.708

Calculated values
- formation energy (eV/atom) = -0.33
- mass density (g cm⁻³) = 4.3

---

# 7
First-principles (GGA-PBE) data for a relaxed structure of Li22Sn5, as listed in Alexandria via LeMat-Bulk.

a b c (Å): 13.917 13.917 13.917
angles (deg): 60.00 60.00 60.00
Fractional positions:
Li1 0.924 0.924 0.227
Li2 0.227 0.924 0.924
Li3 0.924 0.924 0.924
Li4 0.924 0.227 0.924
Li5 0.168 0.168 0.495
Li6 0.495 0.168 0.168
Li7 0.168 0.168 0.168
Li8 0.168 0.495 0.168
Li9 0.583 0.583 0.251
Li10 0.251 0.583 0.583
Li11 0.583 0.583 0.583
Li12 0.583 0.251 0.583
Li13 0.678 0.678 0.967
Li14 0.967 0.678 0.678
Li15 0.678 0.678 0.678
Li16 0.678 0.967 0.678
Li17 0.830 0.170 0.170
Li18 0.170 0.830 0.830
Li19 0.830 0.830 0.170
Li20 0.170 0.170 0.830
Li21 0.170 0.830 0.170
Li22 0.830 0.170 0.830
Li23 0.000 0.000 0.000
Li24 0.676 0.996 0.332
Li25 0.332 0.996 0.676
Li26 0.996 0.676 0.996
Li27 0.996 0.676 0.332
Li28 0.996 0.332 0.996
Li29 0.996 0.332 0.676
Li30 0.332 0.996 0.996
Li31 0.676 0.996 0.996
Li32 0.996 0.996 0.332
Li33 0.676 0.332 0.996
Li34 0.332 0.676 0.996
Li35 0.996 0.996 0.676
Li36 0.922 0.578 0.578
Li37 0.578 0.922 0.922
Li38 0.922 0.922 0.578
Li39 0.578 0.578 0.922
Li40 0.578 0.922 0.578
Li41 0.922 0.578 0.922
Li42 0.250 0.250 0.250
Li43 0.579 0.242 0.936
Li44 0.936 0.242 0.579
Li45 0.242 0.579 0.242
Li46 0.242 0.579 0.936
Li47 0.242 0.936 0.242
Li48 0.242 0.936 0.579
Li49 0.936 0.242 0.242
Li50 0.579 0.242 0.242
Li51 0.242 0.242 0.936
Li52 0.579 0.936 0.242
Li53 0.936 0.579 0.242
Li54 0.242 0.242 0.579
Li55 0.328 0.328 0.015
Li56 0.015 0.328 0.328
Li57 0.328 0.328 0.328
Li58 0.328 0.015 0.328
Li59 0.082 0.742 0.435
Li60 0.435 0.742 0.082
Li61 0.742 0.082 0.742
Li62 0.742 0.082 0.435
Li63 0.742 0.435 0.742
Li64 0.742 0.435 0.082
Li65 0.435 0.742 0.742
Li66 0.082 0.742 0.742
Li67 0.742 0.742 0.435
Li68 0.082 0.435 0.742
Li69 0.435 0.082 0.742
Li70 0.742 0.742 0.082
Li71 0.190 0.492 0.826
Li72 0.826 0.492 0.190
Li73 0.492 0.190 0.492
Li74 0.492 0.190 0.826
Li75 0.492 0.826 0.492
Li76 0.492 0.826 0.190
Li77 0.826 0.492 0.492
Li78 0.190 0.492 0.492
Li79 0.492 0.492 0.826
Li80 0.190 0.826 0.492
Li81 0.826 0.190 0.492
Li82 0.492 0.492 0.190
Li83 0.500 0.500 0.500
Li84 0.750 0.750 0.750
Li85 0.424 0.424 0.727
Li86 0.727 0.424 0.424
Li87 0.424 0.424 0.424
Li88 0.424 0.727 0.424
Sn1 0.838 0.838 0.485
Sn2 0.485 0.838 0.838
Sn3 0.838 0.838 0.838
Sn4 0.838 0.485 0.838
Sn5 0.426 0.074 0.074
Sn6 0.074 0.426 0.426
Sn7 0.426 0.426 0.074
Sn8 0.074 0.074 0.426
Sn9 0.074 0.426 0.074
Sn10 0.426 0.074 0.426
Sn11 0.676 0.324 0.324
Sn12 0.324 0.676 0.676
Sn13 0.676 0.676 0.324
Sn14 0.324 0.324 0.676
Sn15 0.324 0.676 0.324
Sn16 0.676 0.324 0.676
Sn17 0.083 0.083 0.750
Sn18 0.750 0.083 0.083
Sn19 0.083 0.083 0.083
Sn20 0.083 0.750 0.083

Calculated values
- formation energy (eV/atom) = -0.33
- mass density (g cm⁻³) = 2.6

---

# 8
First-principles (GGA-PBE) data for a relaxed structure of LiSn2, as listed in Alexandria via LeMat-Bulk.

a b c (Å): 3.948 3.948 5.432
angles (deg): 111.31 111.31 90.00
Fractional positions:
Sn1 0.671 0.671 0.342
Sn2 0.329 0.329 0.658
Li1 0.000 0.000 0.000

Calculated values
- formation energy (eV/atom) = -0.16
- mass density (g cm⁻³) = 5.6

---

| no. | M_tot (μB per cell) |
| --- | --- |
| 1 | 0.0 |
| 2 | 0.0 |
| 3 | 0.0 |
| 4 | 0.0 |
| 5 | 0.0 |
| 6 | 0.0 |
| 7 | 0.0 |
| 8 | 0.0 |